No. 1
Material: SbMo2Se
Method: DFT, PBE
State: optimized geometry

- formation energy from raw total energies (kcal/mol of atoms) = 12.4

Lattice parameters (Å, degrees): 3.1847 5.3447 8.5742 90.00 90.00 90.00
Last column: nearest neighbours and their distance in Å.
Space group Immm (No. 71)
Symmetry-distinct sites (fractional):
Sb: 0.0000 0.0000 0.0000 (multiplicity 2)  4 Mo 2.84, 4 Se 3.11
Mo: 0.0000 0.5000 0.2256 (multiplicity 4)  2 Se 2.51
Se: 0.0000 0.0000 0.5000 (multiplicity 2)  4 Mo 2.51

=====

No. 2
Material: SbMo2Se
Method: DFT, PBE
State: optimized geometry

- formation energy from raw total energies (kcal/mol of atoms) = 2.8

Lattice parameters (Å, degrees): 9.0440 3.2723 5.1567 90.00 105.27 90.00
Last column: nearest neighbours and their distance in Å.
Space group Cm (No. 8)
Symmetry-distinct sites (fractional):
Sb: 0.0000 0.0000 0.0000 (multiplicity 2)  5 Mo 2.74-2.89
Mo: 0.0081 0.5000 0.5408 (multiplicity 2)  3 Se 2.53-2.60
Mo: 0.2529 0.5000 0.2147 (multiplicity 2)  2 Se 2.55, 3 Sb 2.74-2.79
Se: 0.2362 0.0000 0.5845 (multiplicity 2)  5 Mo 2.53-2.60

=====

No. 3
Material: SbMoSe3
Method: DFT, PBE
State: optimized geometry

- formation energy from raw total energies (kcal/mol of atoms) = 6.4

Lattice parameters (Å, degrees): 4.9596 4.9596 4.9596 90.00 90.00 90.00
Last column: nearest neighbours and their distance in Å.
Space group Pm-3m (No. 221)
Symmetry-distinct sites (fractional):
Sb: 0.0000 0.0000 0.0000 (multiplicity 1)  12 Se 3.51
Mo: 0.5000 0.5000 0.5000 (multiplicity 1)  6 Se 2.48
Se: 0.0000 0.5000 0.5000 (multiplicity 3)  2 Mo 2.48

=====

No. 4
Material: SbMo4Se
Method: DFT, PBE
State: optimized geometry

- formation energy from raw total energies (kcal/mol of atoms) = 13.0

Lattice parameters (Å, degrees): 7.5464 7.5464 7.5464 90.00 90.00 90.00
Last column: nearest neighbours and their distance in Å.
Space group F-43m (No. 216)
Symmetry-distinct sites (fractional):
Sb: 0.0000 0.0000 0.0000 (multiplicity 4)  12 Mo 3.13, 4 Se 3.27
Mo: 0.1225 0.1225 0.3775 (multiplicity 16)  6 Mo 2.62-2.72
Se: 0.2500 0.2500 0.7500 (multiplicity 4)  12 Mo 3.12, 4 Sb 3.27